Record 1
Crystalline Ce2AlPd3 at its relaxed geometry. Source: Alexandria, functional PBE.

a = 5.6699 Å, b = 5.6699 Å, c = 8.2720 Å
α = 90.00°, β = 90.00°, γ = 120.00°
With the nearest neighbours (Å) after each atom.
Space group P6_3/mmc (No. 194)
Symmetry-distinct sites (fractional):
Ce 0.3333 0.6667 0.0728 x4  1 Ce 2.93, 9 Pd 3.12-3.19
Al 0.0000 0.0000 0.0000 x2  6 Pd 2.65
Pd 0.1680 0.3361 0.7500 x6  2 Al 2.65, 4 Pd 2.81-2.86

DFT formation energy	-0.790	eV per atom
calculated volume	230.3	Å³/cell
M_tot	0.21	μB per atom
crystal system	hexagonal

=====

Record 2
Crystalline KHf at its relaxed geometry. Source: Alexandria, functional PBE.

a = 13.4735 Å, b = 13.4735 Å, c = 4.6489 Å
α = 90.00°, β = 90.00°, γ = 90.00°
With the nearest neighbours (Å) after each atom.
Space group I4/mmm (No. 139)
Symmetry-distinct sites (fractional):
K 0.0000 0.2883 0.0000 x8  6 Hf 3.83-3.85
Hf 0.2158 0.2158 0.5000 x8  2 Hf 2.67

DFT formation energy	1.473	eV per atom
calculated volume	844.0	Å³/cell
M_tot	0.00	μB per atom
crystal system	tetragonal